Model 1:
A relaxed structure of PtIN2Cl. Source: Alexandria via LeMat-Bulk, functional PBE.

Output
spin magnetization = 0.0 μB per cell

Cell: 3.851 3.851 8.934 Å, 90.00 90.00 90.00°
Element x y z (fractional)
Pt (0.000, 0.000, 0.000)
I (0.000, 0.000, 0.500)
N (0.000, 0.500, 0.000)
N (0.500, 0.000, 0.000)
Cl (0.500, 0.500, 0.500)


Model 2:
A relaxed structure of PtIN2Cl. Source: Alexandria via LeMat-Bulk, functional PBE.

Output
spin magnetization = 0.0 μB per cell

Cell: 3.772 3.772 8.202 Å, 90.00 90.00 90.00°
Element x y z (fractional)
Pt (0.000, 0.000, 0.000)
I (0.500, 0.500, 0.000)
N (0.000, 0.500, 0.500)
N (0.500, 0.000, 0.500)
Cl (0.500, 0.500, 0.500)


We find model 1 to be the most stable, with the next structure 1.050 eV/atom higher.


Model 1:
A relaxed structure of RbIN2Cl. Source: Alexandria via LeMat-Bulk, functional PBE.

Output
spin magnetization = 6.0 μB per cell

Cell: 5.687 5.687 5.819 Å, 90.00 90.00 90.00°
Element x y z (fractional)
Rb (0.000, 0.000, 0.000)
I (0.500, 0.500, 0.000)
N (0.000, 0.500, 0.500)
N (0.500, 0.000, 0.500)
Cl (0.500, 0.500, 0.500)


Model 2:
A relaxed structure of RbIN2Cl. Source: Alexandria via LeMat-Bulk, functional PBE.

Output
spin magnetization = 7.0 μB per cell

Cell: 5.738 5.738 6.987 Å, 90.00 90.00 90.00°
Element x y z (fractional)
Rb (0.000, 0.000, 0.000)
I (0.000, 0.000, 0.500)
N (0.000, 0.500, 0.000)
N (0.500, 0.000, 0.000)
Cl (0.500, 0.500, 0.500)


We find model 1 to be the most stable, with the next structure 0.269 eV/atom higher.


Model 1:
A relaxed structure of RbI2NCl. Source: Alexandria via LeMat-Bulk, functional PBE.

Output
spin magnetization = 0.3 μB per cell

Cell: 7.245 7.245 3.459 Å, 90.00 90.00 90.00°
Element x y z (fractional)
Rb (0.000, 0.000, 0.000)
I (0.000, 0.500, 0.500)
I (0.500, 0.000, 0.500)
N (0.500, 0.500, 0.000)
Cl (0.500, 0.500, 0.500)


Model 2:
A relaxed structure of RbI2NCl. Source: Alexandria via LeMat-Bulk, functional PBE.

Output
spin magnetization = 5.0 μB per cell

Cell: 7.016 7.016 6.044 Å, 90.00 90.00 90.00°
Element x y z (fractional)
Rb (0.000, 0.000, 0.000)
I (0.000, 0.500, 0.000)
I (0.500, 0.000, 0.000)
N (0.000, 0.000, 0.500)
Cl (0.500, 0.500, 0.500)


We find model 1 to be the most stable, with the next structure 0.552 eV/atom higher.


Model 1:
A relaxed structure of ReIN2Cl. Source: Alexandria via LeMat-Bulk, functional PBE.

Output
spin magnetization = 6.6 μB per cell

Cell: 3.976 3.976 6.825 Å, 90.00 90.00 90.00°
Element x y z (fractional)
Re (0.000, 0.000, 0.000)
I (0.500, 0.500, 0.000)
N (0.000, 0.500, 0.500)
N (0.500, 0.000, 0.500)
Cl (0.500, 0.500, 0.500)


Model 2:
A relaxed structure of ReIN2Cl. Source: Alexandria via LeMat-Bulk, functional PBE.

Output
spin magnetization = 0.0 μB per cell

Cell: 3.920 3.920 5.828 Å, 90.00 90.00 90.00°
Element x y z (fractional)
Re (0.000, 0.000, 0.000)
I (0.000, 0.000, 0.500)
N (0.000, 0.500, 0.000)
N (0.500, 0.000, 0.000)
Cl (0.500, 0.500, 0.500)


We find model 2 to be the most stable, with the next structure 2.217 eV/atom higher.


Model 1:
A relaxed structure of RuIN2Cl. Source: Alexandria via LeMat-Bulk, functional PBE.

Output
spin magnetization = 5.3 μB per cell

Cell: 3.917 3.917 7.110 Å, 90.00 90.00 90.00°
Element x y z (fractional)
Ru (0.000, 0.000, 0.000)
I (0.500, 0.500, 0.000)
N (0.000, 0.500, 0.500)
N (0.500, 0.000, 0.500)
Cl (0.500, 0.500, 0.500)


Model 2:
A relaxed structure of RuIN2Cl. Source: Alexandria via LeMat-Bulk, functional PBE.

Output
spin magnetization = 0.3 μB per cell

Cell: 3.893 3.893 5.804 Å, 90.00 90.00 90.00°
Element x y z (fractional)
Ru (0.000, 0.000, 0.000)
I (0.000, 0.000, 0.500)
N (0.000, 0.500, 0.000)
N (0.500, 0.000, 0.000)
Cl (0.500, 0.500, 0.500)


We find model 2 to be the most stable, with the next structure 1.545 eV/atom higher.


Model 1:
A relaxed structure of RuI2NCl. Source: Alexandria via LeMat-Bulk, functional PBE.

Output
spin magnetization = 0.0 μB per cell

Cell: 5.608 5.608 3.692 Å, 90.00 90.00 90.00°
Element x y z (fractional)
Ru (0.000, 0.000, 0.000)
I (0.000, 0.500, 0.000)
I (0.500, 0.000, 0.000)
N (0.000, 0.000, 0.500)
Cl (0.500, 0.500, 0.500)


Model 2:
A relaxed structure of RuI2NCl. Source: Alexandria via LeMat-Bulk, functional PBE.

Output
spin magnetization = 3.2 μB per cell

Cell: 6.481 6.481 3.313 Å, 90.00 90.00 90.00°
Element x y z (fractional)
Ru (0.000, 0.000, 0.000)
I (0.000, 0.500, 0.500)
I (0.500, 0.000, 0.500)
N (0.500, 0.500, 0.000)
Cl (0.500, 0.500, 0.500)


We find model 1 to be the most stable, with the next structure 1.352 eV/atom higher.


Model 1:
A relaxed structure of SbIN2Cl. Source: Alexandria via LeMat-Bulk, functional PBE.

Output
spin magnetization = 1.2 μB per cell

Cell: 4.082 4.082 7.381 Å, 90.00 90.00 90.00°
Element x y z (fractional)
Sb (0.000, 0.000, 0.000)
I (0.000, 0.000, 0.500)
N (0.000, 0.500, 0.000)
N (0.500, 0.000, 0.000)
Cl (0.500, 0.500, 0.500)


Model 2:
A relaxed structure of SbIN2Cl. Source: Alexandria via LeMat-Bulk, functional PBE.

Output
spin magnetization = 0.0 μB per cell

Cell: 4.334 4.334 5.056 Å, 90.00 90.00 90.00°
Element x y z (fractional)
Sb (0.000, 0.000, 0.000)
I (0.500, 0.500, 0.000)
N (0.000, 0.500, 0.500)
N (0.500, 0.000, 0.500)
Cl (0.500, 0.500, 0.500)


We find model 1 to be the most stable, with the next structure 1.067 eV/atom higher.


Model 1:
A relaxed structure of ScIN2Cl. Source: Alexandria via LeMat-Bulk, functional PBE.

Output
spin magnetization = 3.5 μB per cell

Cell: 4.344 4.344 6.125 Å, 90.00 90.00 90.00°
Element x y z (fractional)
Sc (0.000, 0.000, 0.000)
I (0.000, 0.000, 0.500)
N (0.000, 0.500, 0.000)
N (0.500, 0.000, 0.000)
Cl (0.500, 0.500, 0.500)


Model 2:
A relaxed structure of ScIN2Cl. Source: Alexandria via LeMat-Bulk, functional PBE.

Output
spin magnetization = 0.0 μB per cell

Cell: 4.190 4.190 4.901 Å, 90.00 90.00 90.00°
Element x y z (fractional)
Sc (0.000, 0.000, 0.000)
I (0.500, 0.500, 0.000)
N (0.000, 0.500, 0.500)
N (0.500, 0.000, 0.500)
Cl (0.500, 0.500, 0.500)


We find model 1 to be the most stable, with the next structure 1.008 eV/atom higher.